No. 1
# LaAlAu

LaAlAu after structural relaxation (GGA-PBE, Alexandria via LeMat-Bulk).

Cell: 4.675 7.853 15.436 Å, 90.00 90.00 90.00°
Sites, in units of the cell vectors:
1 Au 0.500 0.416 0.849
2 Al 0.000 0.915 0.409
3 Al 0.500 0.085 0.091
4 La 0.000 0.295 0.000
5 La 0.000 0.292 0.500
6 Au 0.000 0.912 0.891
7 Au 0.500 0.088 0.391
8 La 0.500 0.797 0.255
9 Au 0.000 0.584 0.349
10 La 0.000 0.203 0.245
11 Au 0.000 0.912 0.109
12 La 0.500 0.708 0.000
13 Al 0.500 0.085 0.909
14 La 0.000 0.203 0.755
15 Al 0.000 0.915 0.591
16 Al 0.000 0.584 0.157
17 La 0.500 0.797 0.745
18 Al 0.000 0.584 0.843
19 Al 0.500 0.416 0.343
20 Au 0.500 0.416 0.151
21 La 0.500 0.705 0.500
22 Al 0.500 0.416 0.657
23 Au 0.500 0.088 0.609
24 Au 0.000 0.584 0.651

Properties
E_tot: -113.7 eV for the cell shown
ΔH_f (0 K): -0.75 eV per atom
Crystal system: orthorhombic
Symmetry: Pmmn, No. 59

=====

No. 2
# LaAl12Au4

LaAl12Au4 after structural relaxation (GGA-PBE, Alexandria via LeMat-Bulk).

Cell: 7.745 7.745 7.745 Å, 109.47 109.47 109.47°
Sites, in units of the cell vectors:
1 Al 0.351 0.197 0.846
2 Au 0.000 0.500 0.000
3 Al 0.154 0.649 0.803
4 Al 0.505 0.154 0.351
5 Au 0.500 0.500 0.500
6 Au 0.500 0.000 0.000
7 Al 0.649 0.495 0.846
8 Al 0.846 0.351 0.197
9 La 0.000 0.000 0.000
10 Al 0.495 0.846 0.649
11 Al 0.846 0.649 0.495
12 Al 0.351 0.505 0.154
13 Al 0.649 0.803 0.154
14 Au 0.000 0.000 0.500
15 Al 0.803 0.154 0.649
16 Al 0.154 0.351 0.505
17 Al 0.197 0.846 0.351

Properties
E_tot: -65.1 eV for the cell shown
ΔH_f (0 K): -0.13 eV per atom
Crystal system: cubic
Symmetry: Im-3, No. 204

=====

No. 3
# LaAl2Au

LaAl2Au after structural relaxation (GGA-PBE, Alexandria via LeMat-Bulk).

Cell: 5.829 5.938 3.011 Å, 80.74 79.12 116.29°
Sites, in units of the cell vectors:
1 La 0.500 0.500 0.000
2 Al 0.500 0.000 0.500
3 Al 0.000 0.000 0.000
4 Au 0.000 0.500 0.500

Properties
E_tot: -16.1 eV for the cell shown
ΔH_f (0 K): -0.10 eV per atom
Crystal system: monoclinic
Symmetry: C2/m, No. 12

=====

No. 4
# La2Al2Au5

La2Al2Au5 after structural relaxation (GGA-PBE, Alexandria via LeMat-Bulk).

Cell: 4.795 4.795 8.644 Å, 90.00 90.00 90.00°
Sites, in units of the cell vectors:
1 Au 0.000 0.500 0.738
2 La 0.000 0.000 0.500
3 Al 0.500 0.500 0.155
4 Au 0.500 0.000 0.262
5 Al 0.500 0.500 0.845
6 Au 0.500 0.500 0.500
7 La 0.000 0.000 0.000
8 Au 0.000 0.500 0.262
9 Au 0.500 0.000 0.738

Properties
E_tot: -39.6 eV for the cell shown
ΔH_f (0 K): -0.65 eV per atom
Crystal system: tetragonal
Symmetry: P4/mmm, No. 123

=====

No. 5
# LaAl2Au

LaAl2Au after structural relaxation (GGA-PBE, Alexandria via LeMat-Bulk).

Cell: 3.449 3.451 7.216 Å, 90.00 90.00 90.00°
Sites, in units of the cell vectors:
1 Al 0.500 0.500 0.261
2 Au 0.000 0.000 0.436
3 Al 0.000 0.000 0.053
4 La 0.500 0.500 0.749

Properties
E_tot: -17.3 eV for the cell shown
ΔH_f (0 K): -0.41 eV per atom
Crystal system: tetragonal
Symmetry: P4mm, No. 99

=====

No. 6
# LaAl2Au

LaAl2Au after structural relaxation (GGA-PBE, Alexandria via LeMat-Bulk).

Cell: 3.221 3.493 7.528 Å, 90.00 90.00 90.00°
Sites, in units of the cell vectors:
1 La 0.500 0.500 0.750
2 Al 0.000 0.000 0.056
3 Al 0.000 0.000 0.444
4 Au 0.500 0.500 0.250

Properties
E_tot: -17.2 eV for the cell shown
ΔH_f (0 K): -0.38 eV per atom
Crystal system: orthorhombic
Symmetry: Pmmm, No. 47

=====

No. 7
# LaAl2Au

LaAl2Au after structural relaxation (GGA-PBE, Alexandria via LeMat-Bulk).

Cell: 4.930 4.930 4.930 Å, 60.00 60.00 60.00°
Sites, in units of the cell vectors:
1 Au 0.500 0.500 0.500
2 Al 0.250 0.250 0.250
3 La 0.000 0.000 0.000
4 Al 0.750 0.750 0.750

Properties
E_tot: -16.9 eV for the cell shown
ΔH_f (0 K): -0.30 eV per atom
Crystal system: cubic
Symmetry: Fm-3m, No. 225

=====

No. 8
# La2Al5Au3

La2Al5Au3 after structural relaxation (GGA-PBE, Alexandria via LeMat-Bulk).

Cell: 6.281 8.793 8.793 Å, 75.80 69.07 69.07°
Sites, in units of the cell vectors:
1 La 0.871 0.390 0.869
2 Al 0.010 0.240 0.240
3 Au 0.370 0.507 0.752
4 Al 0.990 0.760 0.760
5 Au 0.870 0.752 0.507
6 Al 0.114 0.030 0.743
7 Al 0.886 0.970 0.257
8 La 0.371 0.869 0.390
9 Al 0.750 0.500 0.500
10 Au 0.750 0.000 0.000
11 Al 0.386 0.257 0.970
12 Au 0.130 0.248 0.493
13 Al 0.614 0.743 0.030
14 La 0.129 0.610 0.131
15 Au 0.630 0.493 0.248
16 Al 0.490 0.760 0.760
17 Al 0.510 0.240 0.240
18 La 0.629 0.131 0.610
19 Al 0.250 0.500 0.500
20 Au 0.250 0.000 0.000

Properties
E_tot: -91.2 eV for the cell shown
ΔH_f (0 K): -0.72 eV per atom
Crystal system: orthorhombic
Symmetry: Ibam, No. 72